Compound: CuTe2As
Source: Alexandria
Functional: GGA-PBEsol
Structure: optimized geometry

a = 6.9745 Å, b = 6.9745 Å, c = 6.9745 Å
α = 90.00°, β = 90.00°, γ = 90.00°
Closest atoms and distances in Å follow each position.
Fractional positions:
Cu: 0.0000 0.0000 0.0000  4 As 3.02, 4 Te 3.02
Cu: 0.0000 0.5000 0.5000  4 As 3.02, 4 Te 3.02
Cu: 0.5000 0.0000 0.5000  4 As 3.02, 4 Te 3.02
Cu: 0.5000 0.5000 0.0000  4 As 3.02, 4 Te 3.02
Te: 0.0000 0.0000 0.5000  4 As 3.02, 4 Te 3.02
Te: 0.0000 0.5000 0.0000  4 Te 3.02, 4 As 3.02
Te: 0.2500 0.2500 0.7500  4 Cu 3.02, 4 Te 3.02
Te: 0.2500 0.7500 0.2500  4 Te 3.02, 4 Cu 3.02
Te: 0.5000 0.0000 0.0000  4 Te 3.02, 4 As 3.02
Te: 0.5000 0.5000 0.5000  4 As 3.02, 4 Te 3.02
Te: 0.7500 0.2500 0.2500  4 Te 3.02, 4 Cu 3.02
Te: 0.7500 0.7500 0.7500  4 Te 3.02, 4 Cu 3.02
As: 0.2500 0.2500 0.2500  4 Te 3.02, 4 Cu 3.02
As: 0.2500 0.7500 0.7500  4 Te 3.02, 4 Cu 3.02
As: 0.7500 0.2500 0.7500  4 Te 3.02, 4 Cu 3.02
As: 0.7500 0.7500 0.2500  4 Te 3.02, 4 Cu 3.02

Results
Energy relative to the elements, uncorrected: 0.5305 eV per atom

***

Compound: Ag2Pt
Source: Alexandria
Functional: GGA-PBEsol
Structure: optimized geometry

a = 5.6875 Å, b = 5.6875 Å, c = 6.2223 Å
α = 103.13°, β = 103.13°, γ = 89.77°
Closest atoms and distances in Å follow each position.
Fractional positions:
Ag: 0.0813 0.5837 0.3326  7 Ag 2.78-2.86, 5 Pt 2.81-2.87
Ag: 0.0858 0.0858 0.3295  9 Ag 2.78-2.88, 3 Pt 2.84-2.85
Ag: 0.2461 0.2461 0.9951  6 Ag 2.78-2.83, 6 Pt 2.82-2.87
Ag: 0.4163 0.9187 0.6674  7 Ag 2.78-2.86, 5 Pt 2.81-2.87
Ag: 0.5837 0.0813 0.3326  7 Ag 2.78-2.86, 5 Pt 2.81-2.87
Ag: 0.7539 0.7539 0.0049  6 Ag 2.78-2.83, 6 Pt 2.82-2.87
Ag: 0.9142 0.9142 0.6705  9 Ag 2.78-2.88, 3 Pt 2.84-2.85
Ag: 0.9187 0.4163 0.6674  7 Ag 2.78-2.86, 5 Pt 2.81-2.87
Pt: 0.2579 0.7421 0.0000  2 Pt 2.77, 10 Ag 2.81-2.87
Pt: 0.4225 0.4225 0.6657  3 Pt 2.73-2.77, 9 Ag 2.82-2.87
Pt: 0.5775 0.5775 0.3343  3 Pt 2.73-2.77, 9 Ag 2.82-2.87
Pt: 0.7421 0.2579 0.0000  2 Pt 2.77, 10 Ag 2.81-2.87

Results
Formation energy: 0.020 eV/atom
ΔE to the lowest computed polymorph: 0.08 eV/f.u.

***

Compound: Tl2Te
Source: Alexandria
Functional: GGA-PBEsol
Structure: optimized geometry

a = 5.5819 Å, b = 5.5819 Å, c = 6.8855 Å
α = 90.00°, β = 90.00°, γ = 120.00°
Closest atoms and distances in Å follow each position.
Fractional positions:
Tl: 0.0000 0.0000 0.0000  8 Tl 3.44-3.65, 6 Te 3.65
Tl: 0.0000 0.0000 0.5000  8 Tl 3.44-3.65, 6 Te 3.65
Tl: 0.3333 0.6667 0.2500  5 Te 3.22-3.44
Tl: 0.6667 0.3333 0.7500  5 Te 3.22-3.44
Te: 0.3333 0.6667 0.7500  5 Tl 3.22-3.44
Te: 0.6667 0.3333 0.2500  5 Tl 3.22-3.44

Results
Energy relative to the elements, uncorrected: -0.2031 eV per atom
ΔE to the lowest computed polymorph: 0.13 eV/f.u.

***

Compound: K2TlAu
Source: Alexandria
Functional: GGA-PBEsol
Structure: optimized geometry

a = 4.1686 Å, b = 4.1906 Å, c = 7.1763 Å
α = 90.00°, β = 90.00°, γ = 90.00°
Closest atoms and distances in Å follow each position.
Fractional positions:
K: 0.0000 0.0000 0.2275  1 K 3.26, 4 Au 3.38, 4 Tl 3.54
K: 0.0000 0.0000 0.7725  1 K 3.26, 4 Au 3.38, 4 Tl 3.54
Tl: 0.5000 0.5000 0.5000  8 K 3.54, 2 Au 3.59
Au: 0.5000 0.5000 0.0000  8 K 3.38, 2 Tl 3.59

Results
Formation energy: -0.041 eV/atom

***

Compound: LaRh2CS
Source: Alexandria
Functional: GGA-PBEsol
Structure: optimized geometry

a = 4.7825 Å, b = 4.7825 Å, c = 5.4765 Å
α = 90.00°, β = 90.00°, γ = 90.00°
Closest atoms and distances in Å follow each position.
Fractional positions:
La: 0.0000 0.0000 0.0000  4 Rh 2.39
Rh: 0.0000 0.5000 0.0000  2 La 2.39
Rh: 0.5000 0.0000 0.0000  2 La 2.39
C: 0.5000 0.5000 0.5000  4 S 3.38, 8 Rh 3.64
S: 0.0000 0.0000 0.5000  2 La 2.74

Results
Energy relative to the elements, uncorrected: 2.3026 eV per atom

***

Compound: Mn2FeRu
Source: Alexandria
Functional: GGA-PBEsol
Structure: optimized geometry

a = 5.7225 Å, b = 5.7225 Å, c = 5.7225 Å
α = 90.00°, β = 90.00°, γ = 90.00°
Closest atoms and distances in Å follow each position.
Fractional positions:
Mn: 0.0000 0.0000 0.0000  4 Ru 2.48, 4 Mn 2.48
Mn: 0.0000 0.5000 0.5000  4 Mn 2.48, 4 Ru 2.48
Mn: 0.2500 0.2500 0.2500  4 Mn 2.48, 4 Fe 2.48
Mn: 0.2500 0.7500 0.7500  4 Mn 2.48, 4 Fe 2.48
Mn: 0.5000 0.0000 0.5000  4 Mn 2.48, 4 Ru 2.48
Mn: 0.5000 0.5000 0.0000  4 Mn 2.48, 4 Ru 2.48
Mn: 0.7500 0.2500 0.7500  4 Mn 2.48, 4 Fe 2.48
Mn: 0.7500 0.7500 0.2500  4 Mn 2.48, 4 Fe 2.48
Fe: 0.0000 0.0000 0.5000  4 Mn 2.48, 4 Ru 2.48
Fe: 0.0000 0.5000 0.0000  4 Mn 2.48, 4 Ru 2.48
Fe: 0.5000 0.0000 0.0000  4 Mn 2.48, 4 Ru 2.48
Fe: 0.5000 0.5000 0.5000  4 Mn 2.48, 4 Ru 2.48
Ru: 0.2500 0.2500 0.7500  4 Mn 2.48, 4 Fe 2.48
Ru: 0.2500 0.7500 0.2500  4 Mn 2.48, 4 Fe 2.48
Ru: 0.7500 0.2500 0.2500  4 Mn 2.48, 4 Fe 2.48
Ru: 0.7500 0.7500 0.7500  4 Mn 2.48, 4 Fe 2.48

Results
Formation energy: 0.221 eV/atom
ΔE to the lowest computed polymorph: 0.45 eV/f.u.